Entry from the Alexandria database: crystalline Sr2LaAl at its relaxed geometry (GGA-PBE).

Properties
VASP energy   -2.9286 eV per atom
Space group   I-4m2
Fermi-level density of states   0.90 states/eV per atom
ΔE_f   0.080 eV/atom

Cell: 6.0606 6.0606 6.0606 Å, 125.79 125.79 80.23°
Last column: nearest neighbours and their distance in Å.
Atoms (fractional coordinates):
Sr 0.0000 0.0000 0.0000  4 La 3.60, 4 Sr 3.60, 4 Al 3.90
Sr 0.2500 0.7500 0.5000  4 Sr 3.60, 4 Al 3.60, 4 La 3.90
Al 0.5000 0.5000 0.0000  4 La 3.60, 8 Sr 3.60-3.90
La 0.7500 0.2500 0.5000  8 Sr 3.60-3.90, 4 Al 3.60

=====

Entry from the Alexandria database: crystalline Zn2MoBr at its relaxed geometry (GGA-PBE).

Properties
VASP energy   -3.4209 eV per atom
Space group   Cmmm
Fermi-level density of states   0.61 states/eV per atom

Cell: 3.0397 3.0397 8.1862 Å, 90.00 90.00 107.67°
Last column: nearest neighbours and their distance in Å.
Atoms (fractional coordinates):
Br 0.5000 0.5000 0.2500  4 Zn 2.82, 4 Br 3.04
Mo 0.5000 0.5000 0.7500  4 Zn 2.63
Zn 0.0000 0.0000 0.9843  2 Mo 2.63, 2 Br 2.82
Zn 0.0000 0.0000 0.5157  2 Mo 2.63, 2 Br 2.82

=====

Entry from the Alexandria database: crystalline KNbB2O6 at its relaxed geometry (GGA-PBE).

Properties
VASP energy   -7.8996 eV per atom
Space group   Pmn2_1
Fermi-level density of states   0.00 states/eV per atom

Cell: 4.0629 7.5343 9.3756 Å, 90.00 90.00 90.00°
Last column: nearest neighbours and their distance in Å.
Atoms (fractional coordinates):
K 0.4964 0.0000 0.6122  5 O 2.86-3.07
K 0.5036 0.5000 0.1122  5 O 2.86-3.07
Nb 0.7997 0.0000 0.0013  3 O 1.82-1.98
Nb 0.2003 0.5000 0.5013  3 O 1.82-1.98
B 0.9828 0.6650 0.7904  3 O 1.36-1.41
B 0.0172 0.8350 0.2904  3 O 1.36-1.41
B 0.0172 0.1650 0.2904  3 O 1.36-1.41
B 0.9828 0.3350 0.7904  3 O 1.36-1.41
O 0.8692 0.8181 0.1607  1 B 1.36
O 0.1308 0.6819 0.6607  1 B 1.36
O 0.1308 0.3181 0.6607  1 B 1.36
O 0.8692 0.1819 0.1607  1 B 1.36
O 0.0488 0.0000 0.3603  2 B 1.41
O 0.9512 0.5000 0.8603  2 B 1.41
O 0.3527 0.0000 0.0012  1 Nb 1.82
O 0.6473 0.5000 0.5012  1 Nb 1.82
O 0.8497 0.8083 0.8577  1 B 1.36
O 0.1503 0.6917 0.3577  1 B 1.36
O 0.1503 0.3083 0.3577  1 B 1.36
O 0.8497 0.1917 0.8577  1 B 1.36

=====

Entry from the Alexandria database: crystalline RbTe2F at its relaxed geometry (GGA-PBE).

Properties
VASP energy   -2.8232 eV per atom
Space group   R-3m
Fermi-level density of states   0.28 states/eV per atom

Cell: 5.7369 5.7369 5.7369 Å, 65.48 65.48 65.48°
Last column: nearest neighbours and their distance in Å.
Atoms (fractional coordinates):
Te 0.1720 0.1720 0.1720  1 F 2.31
Te 0.8280 0.8280 0.8280  1 F 2.31
Rb 0.5000 0.5000 0.5000  6 Te 3.58
F 0.0000 0.0000 0.0000  2 Te 2.31

=====

Entry from the Alexandria database: crystalline NbInF6 at its relaxed geometry (GGA-PBE).

Properties
VASP energy   -5.7621 eV per atom
Space group   C2/m
Fermi-level density of states   0.00 states/eV per atom

Cell: 5.2329 5.3019 5.3019 Å, 95.54 96.21 96.21°
Last column: nearest neighbours and their distance in Å.
Atoms (fractional coordinates):
Nb 0.0000 0.0000 0.0000  6 F 1.94
In 0.5000 0.5000 0.5000  10 F 2.96-3.32
F 0.0965 0.7481 0.7481  1 Nb 1.94
F 0.7429 0.7414 0.0883  1 Nb 1.94
F 0.2571 0.2586 0.9117  1 Nb 1.94
F 0.9035 0.2519 0.2519  1 Nb 1.94
F 0.2571 0.9117 0.2586  1 Nb 1.94
F 0.7429 0.0883 0.7414  1 Nb 1.94

=====

Entry from the Alexandria database: crystalline CsTl3Ga at its relaxed geometry (GGA-PBE).

Properties
VASP energy   -2.1248 eV per atom
Space group   Pm-3m
Fermi-level density of states   0.88 states/eV per atom
ΔE_f   0.071 eV/atom

Cell: 5.8153 5.8153 5.8153 Å, 90.00 90.00 90.00°
Last column: nearest neighbours and their distance in Å.
Atoms (fractional coordinates):
Cs 0.5000 0.5000 0.5000  12 Tl 4.11
Tl 0.0000 0.5000 0.0000  2 Ga 2.91
Tl 0.0000 0.0000 0.5000  2 Ga 2.91
Tl 0.5000 0.0000 0.0000  2 Ga 2.91
Ga 0.0000 0.0000 0.0000  6 Tl 2.91

=====

Entry from the Alexandria database: crystalline Sm2ScPd9 at its relaxed geometry (GGA-PBE).

Properties
VASP energy   -6.0192 eV per atom
Space group   P4/mmm
Fermi-level density of states   0.77 states/eV per atom
ΔE_f   -0.810 eV/atom

Cell: 4.1370 4.1370 12.2587 Å, 90.00 90.00 90.00°
Last column: nearest neighbours and their distance in Å.
Atoms (fractional coordinates):
Sm 0.0000 0.0000 0.3278  12 Pd 2.93-2.96
Sm 0.0000 0.0000 0.6722  12 Pd 2.93-2.96
Sc 0.0000 0.0000 0.0000  12 Pd 2.82-2.93
Pd 0.5000 0.5000 0.0000  8 Pd 2.82, 4 Sc 2.93
Pd 0.5000 0.5000 0.3288  4 Sm 2.93, 8 Pd 2.95-2.96
Pd 0.5000 0.5000 0.6712  4 Sm 2.93, 8 Pd 2.95-2.96
Pd 0.5000 0.0000 0.1558  2 Sc 2.82, 8 Pd 2.82-2.96, 2 Sm 2.95
Pd 0.5000 0.0000 0.5000  8 Pd 2.93-2.95, 4 Sm 2.96
Pd 0.5000 0.0000 0.8442  2 Sc 2.82, 8 Pd 2.82-2.96, 2 Sm 2.95
Pd 0.0000 0.5000 0.1558  2 Sc 2.82, 8 Pd 2.82-2.96, 2 Sm 2.95
Pd 0.0000 0.5000 0.5000  8 Pd 2.93-2.95, 4 Sm 2.96
Pd 0.0000 0.5000 0.8442  2 Sc 2.82, 8 Pd 2.82-2.96, 2 Sm 2.95

=====

Entry from the Alexandria database: crystalline K2ReBiO6 at its relaxed geometry (GGA-PBE).

Properties
VASP energy   -6.4263 eV per atom
Space group   P4mm

Cell: 4.7702 5.9437 5.9437 Å, 90.00 90.00 90.00°
Last column: nearest neighbours and their distance in Å.
Atoms (fractional coordinates):
K 0.1059 0.5000 0.0000  8 O 2.97-3.01
K 0.1059 0.0000 0.5000  8 O 2.97-3.01
Re 0.5811 0.0000 0.0000  5 O 1.77-1.86
Bi 0.6641 0.5000 0.5000  1 O 2.09
O 0.6694 0.2153 0.2153  1 Re 1.86
O 0.6694 0.2153 0.7847  1 Re 1.86
O 0.1015 0.5000 0.5000  1 Bi 2.09
O 0.2106 0.0000 0.0000  1 Re 1.77
O 0.6694 0.7847 0.7847  1 Re 1.86
O 0.6694 0.7847 0.2153  1 Re 1.86